Material: NiPHCl2
Method: DFT, PBEsol
State: relaxed

Total energy ... -16.5 eV/f.u.
Distance to the lowest polymorph of the same formula ... 0 meV/atom
Theoretical density ... 2890 kg/m³
Crystal system ... tetragonal

Unit cell a=4.724 b=4.724 c=4.160 alpha=90.00 beta=90.00 gamma=90.00
Space group P4/mmm (No. 123)
Unique sites:
1 Ni 0.000 0.000 0.000
2 P 0.000 0.000 0.500
3 H 0.500 0.500 0.500
4 Cl 0.000 0.500 0.000

***

Material: SrAuBr2
Method: DFT, PBEsol
State: relaxed

Energy relative to the elements, uncorrected ... -1.03 eV per atom
Total energy ... -13.6 eV/f.u.
Distance to the lowest polymorph of the same formula ... 0 meV/atom
Theoretical density ... 6582 kg/m³
Crystal system ... orthorhombic

Unit cell a=4.121 b=4.183 c=13.008 alpha=90.00 beta=90.00 gamma=90.00
Space group Imm2 (No. 44)
Unique sites:
1 Sr 0.000 0.000 0.000
2 Au 0.000 0.500 0.675
3 Br 0.000 0.000 0.415
4 Br 0.000 0.500 0.175